## w
This record from the Alexandria database describes a geometry-optimized TbPm2Sc3 structure. The functional is PBE.

It has space group P-3m1 (No. 164), with a = 6.6854 Å, b = 6.6854 Å, c = 9.2721 Å, α = 90.00°, β = 90.00° and γ = 120.00°. Symmetry generates all atoms from Tb at (0.3333, 0.6667, 0.4223), Pm at (0.0000, 0.0000, 0.0000), Pm at (0.0000, 0.0000, 0.5000), Pm at (0.3333, 0.6667, 0.0627) and Sc at (0.1872, 0.3744, 0.7413).

As for the crystal system: trigonal. The density of states at the Fermi level is 24.2 states/eV/cell.

## x
This record from the Alexandria database describes a geometry-optimized TbPm2Sc3 structure. The functional is PBE.

It has space group C2/c (No. 15), with a = 9.819 Å, b = 11.075 Å, c = 6.984 Å, α = 90.00°, β = 112.74° and γ = 90.00°. Symmetry generates all atoms from Tb at (0.000, 0.000, 0.000), Pm at (0.174, 0.266, 0.236), Sc at (0.000, 0.290, 0.750) and Sc at (0.165, 0.484, 0.528).

As for the crystal system: monoclinic. The density of states at the Fermi level is 40.8 states/eV/cell.

Which is the most stable structure? x is the most stable.

## w
This record from the Alexandria database describes a geometry-optimized Tb5Pm4Sc2 structure. The functional is PBE.

It has space group C2/m (No. 12), with a = 18.057 Å, b = 5.005 Å, c = 7.908 Å, α = 90.00°, β = 105.35° and γ = 90.00°. Symmetry generates all atoms from Tb at (0.000, 0.000, 0.000), Tb at (0.135, 0.500, 0.185), Tb at (0.227, 0.500, 0.630), Pm at (0.044, 0.500, 0.722), Pm at (0.182, 0.000, 0.905) and Sc at (0.090, 0.000, 0.454).

As for the crystal system: monoclinic. The density of states at the Fermi level is 31.3 states/eV/cell.

## x
This record from the Alexandria database describes a geometry-optimized Tb5Pm4Sc2 structure. The functional is PBE.

It has space group C2/m (No. 12), with a = 23.620 Å, b = 3.506 Å, c = 8.556 Å, α = 90.00°, β = 94.81° and γ = 90.00°. Symmetry generates all atoms from Tb at (0.000, 0.000, 0.000), Tb at (0.129, 0.500, 0.040), Tb at (0.183, 0.500, 0.476), Pm at (0.039, 0.500, 0.348), Pm at (0.224, 0.000, 0.825) and Sc at (0.088, 0.000, 0.698).

As for the crystal system: monoclinic. The density of states at the Fermi level is 34.3 states/eV/cell.

Which is the most stable structure? w is the most stable.

## w
This record from the Alexandria database describes a geometry-optimized Tb4Pm2Sc3 structure. The functional is PBE.

It has space group P3m1 (No. 156), with a = 3.5100 Å, b = 3.5100 Å, c = 25.6089 Å, α = 90.00°, β = 90.00° and γ = 120.00°. Symmetry generates all atoms from Tb at (0.0000, 0.0000, 0.0000), Tb at (0.0000, 0.0000, 0.2070), Tb at (0.3333, 0.6667, 0.3221), Tb at (0.3333, 0.6667, 0.5304), Pm at (0.0000, 0.0000, 0.6490), Pm at (0.0000, 0.0000, 0.8612), Sc at (0.0000, 0.0000, 0.4264), Sc at (0.3333, 0.6667, 0.1025) and Sc at (0.3333, 0.6667, 0.7565).

As for the crystal system: trigonal. The density of states at the Fermi level is 13.4 states/eV/cell.

## x
This record from the Alexandria database describes a geometry-optimized Tb4Pm2Sc3 structure. The functional is PBE.

It has space group C2/m (No. 12), with a = 18.171 Å, b = 3.520 Å, c = 9.321 Å, α = 90.00°, β = 115.70° and γ = 90.00°. Symmetry generates all atoms from Tb at (0.020, 0.000, 0.338), Tb at (0.186, 0.500, 0.333), Pm at (0.163, 0.000, 0.991), Sc at (0.000, 0.500, 0.000) and Sc at (0.147, 0.500, 0.662).

As for the crystal system: monoclinic. The density of states at the Fermi level is 25.5 states/eV/cell.

Which is the most stable structure? x is the most stable.